Entry 1:
# CoTc2NiH

Crystalline CoTc2NiH at its relaxed geometry (PBE, Alexandria).

It has space group P4/mmm (No. 123), with a = 3.8092 Å, b = 3.8092 Å, c = 3.6815 Å, α = 90.00°, β = 90.00° and γ = 90.00°. Symmetry generates all atoms from Co at (0.0000, 0.0000, 0.0000), Tc at (0.0000, 0.5000, 0.5000), Ni at (0.5000, 0.5000, 0.0000) and H at (0.5000, 0.5000, 0.5000).

As for the magnetization: 1.736 Bohr magnetons per cell. The value obtained for the offset from the most stable computed form is 0.006 eV per atom. The theoretical density comes out at 9.78 g/cm³.

Entry 2:
# CoTc2NiH

Crystalline CoTc2NiH at its relaxed geometry (PBE, Alexandria).

It has space group P4/mmm (No. 123), with a = 3.7992 Å, b = 3.7992 Å, c = 3.6932 Å, α = 90.00°, β = 90.00° and γ = 90.00°. Symmetry generates all atoms from Co at (0.0000, 0.0000, 0.0000), Tc at (0.0000, 0.5000, 0.5000), Ni at (0.5000, 0.5000, 0.0000) and H at (0.0000, 0.0000, 0.5000).

As for the magnetization: 1.495 Bohr magnetons per cell. The value obtained for the offset from the most stable computed form is 0.000 eV per atom. The theoretical density comes out at 9.80 g/cm³.

Entry 3:
# Co2TcNiH

Crystalline Co2TcNiH at its relaxed geometry (PBE, Alexandria).

It has space group P4/mmm (No. 123), with a = 3.6284 Å, b = 3.6284 Å, c = 3.7637 Å, α = 90.00°, β = 90.00° and γ = 90.00°. Symmetry generates all atoms from Co at (0.0000, 0.5000, 0.0000), Tc at (0.0000, 0.0000, 0.5000), Ni at (0.5000, 0.5000, 0.5000) and H at (0.0000, 0.0000, 0.0000).

As for the magnetization: 3.498 Bohr magnetons per cell. The value obtained for the offset from the most stable computed form is 0.000 eV per atom. The theoretical density comes out at 9.23 g/cm³.

Entry 4:
# Co2TcNiH

Crystalline Co2TcNiH at its relaxed geometry (PBE, Alexandria).

It has space group P4/mmm (No. 123), with a = 3.6756 Å, b = 3.6756 Å, c = 3.5934 Å, α = 90.00°, β = 90.00° and γ = 90.00°. Symmetry generates all atoms from Co at (0.0000, 0.5000, 0.0000), Tc at (0.0000, 0.0000, 0.5000), Ni at (0.5000, 0.5000, 0.5000) and H at (0.5000, 0.5000, 0.0000).

As for the magnetization: 2.698 Bohr magnetons per cell. The value obtained for the offset from the most stable computed form is 0.008 eV per atom. The theoretical density comes out at 9.43 g/cm³.

Entry 5:
# ThCoNi2H8

Crystalline ThCoNi2H8 at its relaxed geometry (PBE, Alexandria).

It has space group R-3 (No. 148, hexagonal axes), with a = 4.4266 Å, b = 4.4266 Å, c = 15.8925 Å, α = 90.00°, β = 90.00° and γ = 120.00°. Symmetry generates all atoms from Th at (0.0000, 0.0000, 0.0000), Co at (0.0000, 0.0000, 0.5000), Ni at (0.0000, 0.0000, 0.2152), H at (0.0000, 0.0000, 0.3156) and H at (0.0036, 0.3724, 0.2162).

As for the magnetization: 0.000 Bohr magnetons per cell. The theoretical density comes out at 7.69 g/cm³. As for the total DFT energy (no corrections): -166.5 eV/cell.

Entry 6:
# ThCoNiH6

Crystalline ThCoNiH6 at its relaxed geometry (PBE, Alexandria).

It has space group P-6m2 (No. 187), with a = 4.4531 Å, b = 4.4531 Å, c = 4.1607 Å, α = 90.00°, β = 90.00° and γ = 120.00°. Symmetry generates all atoms from Th at (0.0000, 0.0000, 0.0000), Co at (0.6667, 0.3333, 0.5000), Ni at (0.3333, 0.6667, 0.5000) and H at (0.5040, 0.0080, 0.2518).

As for the magnetization: 0.000 Bohr magnetons per cell. The theoretical density comes out at 8.27 g/cm³. As for the total DFT energy (no corrections): -43.9 eV/cell.

Q: Which value of magnetization does entry 5 give?
A: 0.000 Bohr magnetons per cell

Q: What is the theoretical density in the sixth record?
A: 8.27 g/cm³

Q: theoretical density of number 2 (CoTc2NiH)?
A: 9.80 g/cm³